The following is a PBE-GGA calculation of a relaxed structure of SiIrSe, from Alexandria.

Summary:
Total magnetic moment = 0.0 μB/f.u.
Energy relative to the elements, uncorrected = 0.31 eV per atom

Cell: 5.9132 5.9132 5.9132 Å, 90.00 90.00 90.00°
Last column: nearest neighbours and their distance in Å.
Space group F-43m (No. 216)
One atom of each set of equivalent atoms:
Si (0.0000, 0.0000, 0.0000) [4 per cell]  4 Se 2.56, 4 Ir 2.56
Ir (0.2500, 0.2500, 0.7500) [4 per cell]  4 Si 2.56
Se (0.2500, 0.2500, 0.2500) [4 per cell]  4 Si 2.56

---

The following is a PBE-GGA calculation of a relaxed structure of BeSb2P2, from Alexandria.

Summary:
Total magnetic moment = 0.0 μB/f.u.
Energy relative to the elements, uncorrected = 0.27 eV per atom

Cell: 5.5704 5.5704 7.1701 Å, 90.00 90.00 90.00°
Last column: nearest neighbours and their distance in Å.
Space group I4/mmm (No. 139)
One atom of each set of equivalent atoms:
Be (0.0000, 0.0000, 0.0000) [2 per cell]  2 P 2.03
Sb (0.0000, 0.5000, 0.2500) [4 per cell]  4 P 2.80
P (0.0000, 0.0000, 0.2826) [4 per cell]  1 Be 2.03

---

The following is a PBE-GGA calculation of a relaxed structure of NdY3Al, from Alexandria.

Summary:
Total magnetic moment = 0.0 μB/f.u.
Energy of formation from the pure elements = -0.15 eV/atom

Cell: 3.6845 8.6897 9.7633 Å, 75.71 79.14 89.99°
Last column: nearest neighbours and their distance in Å.
Space group P-1 (No. 2)
One atom of each set of equivalent atoms:
Nd (0.1007, 0.0501, 0.2980) [2 per cell]  9 Y 3.49-3.74, 3 Nd 3.68-3.75
Y (0.3017, 0.1902, 0.8964) [2 per cell]  2 Al 3.14
Y (0.3163, 0.6125, 0.8678) [2 per cell]  2 Al 3.12, 3 Y 3.34-3.43, 2 Nd 3.49
Y (0.4997, 0.2890, 0.5013) [2 per cell]  4 Al 3.11-3.18, 1 Y 3.43
Al (0.0958, 0.5583, 0.3084) [2 per cell]  8 Y 3.11-3.18

---

The following is a PBE-GGA calculation of a relaxed structure of Ti2VCBr, from Alexandria.

Summary:
Total magnetic moment = 0.8 μB/f.u.
Energy relative to the elements, uncorrected = 1.81 eV per atom

Cell: 4.6317 4.6317 4.4641 Å, 90.00 90.00 90.00°
Last column: nearest neighbours and their distance in Å.
Space group P4/mmm (No. 123)
One atom of each set of equivalent atoms:
Ti (0.0000, 0.5000, 0.0000) [2 per cell]  2 V 2.32
V (0.0000, 0.0000, 0.0000) [1 per cell]  2 Br 2.23, 4 Ti 2.32
C (0.5000, 0.5000, 0.5000) [1 per cell]  8 Ti 3.22, 4 Br 3.28
Br (0.0000, 0.0000, 0.5000) [1 per cell]  2 V 2.23

---

The following is a PBE-GGA calculation of a relaxed structure of MnGe2Rh4, from Alexandria.

Summary:
Total magnetic moment = 4.3 μB/f.u.
Energy of formation from the pure elements = 0.55 eV/atom

Cell: 4.5226 4.5226 12.3011 Å, 90.00 90.00 90.00°
Last column: nearest neighbours and their distance in Å.
Space group I4/mmm (No. 139)
One atom of each set of equivalent atoms:
Mn (0.0000, 0.0000, 0.0000) [2 per cell]  6 Rh 2.26-2.39
Ge (0.0000, 0.0000, 0.3847) [4 per cell]  1 Rh 2.34
Rh (0.0000, 0.0000, 0.1943) [4 per cell]  1 Ge 2.34, 1 Mn 2.39
Rh (0.0000, 0.5000, 0.0000) [4 per cell]  2 Mn 2.26

---

The following is a PBE-GGA calculation of a relaxed structure of Sc3PRu, from Alexandria.

Summary:
Total magnetic moment = 0.0 μB/f.u.
Energy of formation from the pure elements = -0.05 eV/atom

Cell: 4.8956 4.8956 4.8956 Å, 90.00 90.00 90.00°
Last column: nearest neighbours and their distance in Å.
Space group Pm-3m (No. 221)
One atom of each set of equivalent atoms:
Sc (0.0000, 0.0000, 0.5000) [3 per cell]  2 Ru 2.45
P (0.5000, 0.5000, 0.5000) [1 per cell]  12 Sc 3.46
Ru (0.0000, 0.0000, 0.0000) [1 per cell]  6 Sc 2.45

---

The following is a PBE-GGA calculation of a relaxed structure of TlZn5, from Alexandria.

Summary:
Total magnetic moment = 0.0 μB/f.u.
Energy of formation from the pure elements = 0.15 eV/atom

Cell: 4.1775 12.5142 4.0885 Å, 90.00 90.00 90.00°
Last column: nearest neighbours and their distance in Å.
Space group Cmmm (No. 65)
One atom of each set of equivalent atoms:
Tl (0.0000, 0.0000, 0.0000) [2 per cell]  12 Zn 2.92-3.06
Zn (0.0000, 0.1800, 0.5000) [4 per cell]  8 Zn 2.70-2.92
Zn (0.0000, 0.3214, 0.0000) [4 per cell]  8 Zn 2.70-2.92
Zn (0.0000, 0.5000, 0.5000) [2 per cell]  4 Tl 2.92, 8 Zn 3.03-3.07

---

The following is a PBE-GGA calculation of a relaxed structure of InTeWI2, from Alexandria.

Summary:
Total magnetic moment = 4.5 μB/f.u.
Energy relative to the elements, uncorrected = 1.32 eV per atom

Cell: 5.6445 5.6445 5.9879 Å, 90.00 90.00 90.00°
Last column: nearest neighbours and their distance in Å.
Space group P4/mmm (No. 123)
One atom of each set of equivalent atoms:
In (0.0000, 0.0000, 0.0000) [1 per cell]  4 I 2.82, 2 Te 2.99
Te (0.0000, 0.0000, 0.5000) [1 per cell]  2 In 2.99
W (0.5000, 0.5000, 0.5000) [1 per cell]  4 Te 3.99, 8 I 4.11
I (0.0000, 0.5000, 0.0000) [2 per cell]  2 In 2.82

---

The following is a PBE-GGA calculation of a relaxed structure of Pu2BeSi3, from Alexandria.

Summary:
Total magnetic moment = 0.0 μB/f.u.
Energy relative to the elements, uncorrected = -0.46 eV per atom

Cell: 7.8095 8.1587 13.6266 Å, 90.00 90.00 90.00°
Last column: nearest neighbours and their distance in Å.
Space group Fmmm (No. 69)
One atom of each set of equivalent atoms:
Pu (0.0000, 0.2448, 0.0000) [8 per cell]  10 Si 3.04-3.09, 2 Be 3.08
Pu (0.2500, 0.2500, 0.2500) [8 per cell]  8 Si 3.01-3.02, 4 Be 3.04
Be (0.0000, 0.0000, 0.3332) [8 per cell]  3 Si 2.17-2.19
Si (0.0000, 0.0000, 0.1727) [8 per cell]  1 Be 2.19, 2 Si 2.35
Si (0.2396, 0.0000, 0.4138) [16 per cell]  1 Be 2.17, 2 Si 2.35

---

The following is a PBE-GGA calculation of a relaxed structure of AcCdSe2, from Alexandria.

Summary:
Total magnetic moment = 0.0 μB/f.u.
Energy relative to the elements, uncorrected = -1.11 eV per atom

Cell: 4.5943 4.5943 26.1776 Å, 90.00 90.00 120.00°
Last column: nearest neighbours and their distance in Å.
Space group R-3m (No. 166, hexagonal axes)
One atom of each set of equivalent atoms:
Ac (0.0000, 0.0000, 0.0000) [3 per cell]  6 Se 3.12
Cd (0.0000, 0.0000, 0.5000) [3 per cell]  2 Se 2.72
Se (0.0000, 0.0000, 0.3960) [6 per cell]  1 Cd 2.72

---

The following is a PBE-GGA calculation of a relaxed structure of Tm6ZnRu2, from Alexandria.

Summary:
Total magnetic moment = 0.0 μB/f.u.
Energy of formation from the pure elements = -0.36 eV/atom

Cell: 9.1725 9.1860 10.3160 Å, 90.00 90.00 90.00°
Last column: nearest neighbours and their distance in Å.
Space group Immm (No. 71)
One atom of each set of equivalent atoms:
Tm (0.0000, 0.1867, 0.1687) [8 per cell]  3 Ru 2.69-2.97
Tm (0.1803, 0.2175, 0.5000) [8 per cell]  3 Ru 2.88-2.92, 1 Zn 3.08
Tm (0.1965, 0.5000, 0.2565) [8 per cell]  1 Ru 2.74
Zn (0.0000, 0.5000, 0.0000) [2 per cell]  12 Tm 3.20-3.55
Zn (0.0000, 0.5000, 0.5000) [2 per cell]  2 Ru 2.90, 8 Tm 3.08-3.09
Ru (0.0000, 0.0000, 0.3698) [4 per cell]  1 Ru 2.69, 6 Tm 2.69-2.92
Ru (0.1838, 0.0000, 0.0000) [4 per cell]  8 Tm 2.74-2.97, 1 Zn 2.90

---

The following is a PBE-GGA calculation of a relaxed structure of TcIO3, from Alexandria.

Summary:
Total magnetic moment = 0.0 μB/f.u.
Energy relative to the elements, uncorrected = -0.96 eV per atom

Cell: 7.2107 5.8379 6.5242 Å, 90.00 90.00 90.00°
Last column: nearest neighbours and their distance in Å.
Space group Pmn2_1 (No. 31)
One atom of each set of equivalent atoms:
Tc (0.0000, 0.1235, 0.0000) [2 per cell]  3 O 1.71-1.72
I (0.0000, 0.3074, 0.6440) [2 per cell]  1 Tc 2.56
O (0.0000, 0.8310, 0.9823) [2 per cell]  1 Tc 1.71
O (0.1937, 0.2113, 0.1309) [4 per cell]  1 Tc 1.72